w.
DFT (PBE) results for a relaxed BeAs3 crystal. Values from VASP.

```
&SYSTEM
  ibrav = 0, nat = 16, ntyp = 2
/
ATOMIC_SPECIES
Be 9.01 Be.upf
As 74.92 As.upf
CELL_PARAMETERS angstrom
5.880 0.000 0.000
0.000 9.773 0.000
0.000 0.000 5.699
ATOMIC_POSITIONS crystal
Be 0.106 0.250 0.035
Be 0.394 0.750 0.535
Be 0.606 0.250 0.465
Be 0.894 0.750 0.965
As 0.012 0.750 0.354
As 0.248 0.623 0.867
As 0.248 0.877 0.867
As 0.252 0.123 0.367
As 0.252 0.377 0.367
As 0.488 0.250 0.854
As 0.512 0.750 0.146
As 0.748 0.623 0.633
As 0.748 0.877 0.633
As 0.752 0.123 0.133
As 0.752 0.377 0.133
As 0.988 0.250 0.646
```


x.
DFT (PBE) results for a relaxed BeAs3 crystal. Values from VASP.

```
&SYSTEM
  ibrav = 0, nat = 8, ntyp = 2
/
ATOMIC_SPECIES
Be 9.01 Be.upf
As 74.92 As.upf
CELL_PARAMETERS angstrom
3.665 0.000 0.000
0.000 4.598 0.000
0.000 0.000 8.211
ATOMIC_POSITIONS crystal
Be 0.000 0.000 0.000
Be 0.500 0.500 0.000
As 0.000 0.000 0.500
As 0.000 0.500 0.182
As 0.000 0.500 0.818
As 0.500 0.000 0.182
As 0.500 0.000 0.818
As 0.500 0.500 0.500
```


y.
DFT (PBE) results for a relaxed BeAs3 crystal. Values from VASP.

```
&SYSTEM
  ibrav = 0, nat = 4, ntyp = 2
/
ATOMIC_SPECIES
Be 9.01 Be.upf
As 74.92 As.upf
CELL_PARAMETERS angstrom
4.519 0.000 0.000
0.000 4.519 0.000
0.000 0.000 3.316
ATOMIC_POSITIONS crystal
Be 0.000 0.000 0.000
As 0.000 0.500 0.500
As 0.500 0.000 0.500
As 0.500 0.500 0.000
```


It is y that is the least stable of them.